# CrFeRe2Se (PBE, relaxed)
data_CrFeRe2Se
_symmetry_space_group_name_H-M 'P 4/m m m'
_symmetry_Int_Tables_number 123
_symmetry_space_group_name_Hall '-P 4 2'
_cell_length_a 4.452
_cell_length_b 4.452
_cell_length_c 4.293
_cell_angle_alpha 90.00
_cell_angle_beta 90.00
_cell_angle_gamma 90.00
loop_
_atom_site_label
_atom_site_fract_x
_atom_site_fract_y
_atom_site_fract_z
Cr1 0.000 0.000 0.000
Fe1 0.500 0.500 0.500
Re1 0.000 0.500 0.500
Se1 0.500 0.500 0.000
# raw total energy = -7.49 eV/atom
# formation energy (no corrections) = 1800.1 meV/atom